## TcC3Cl (PBE)

Data for a relaxed TcC3Cl crystal.

Computed properties:
* size of the total moment: 0.00 μB/cell
* ΔE_f (raw): 3.3131 eV/atom
* volume: 9.67 Å³ per atom

a b c (Å): 3.643 3.643 3.643
angles (deg): 90.00 90.00 90.00
Space group Pm-3m (No. 221)
Symmetry-distinct sites (fractional):
Tc1 0.000 0.000 0.000 [1 per cell]
C1 0.000 0.500 0.500 [3 per cell]
Cl1 0.500 0.500 0.500 [1 per cell]

=====

## K2AgOs (PBE)

Data for a relaxed K2AgOs crystal.

Computed properties:
* size of the total moment: 2.98 μB/cell
* calculated total energy: -2.793 eV/atom
* volume: 24.18 Å³ per atom

a b c (Å): 4.255 4.255 10.685
angles (deg): 90.00 90.00 90.00
Space group I4/mmm (No. 139)
Symmetry-distinct sites (fractional):
K1 0.000 0.500 0.250 [4 per cell]
Ag1 0.000 0.000 0.000 [2 per cell]
Os1 0.000 0.000 0.500 [2 per cell]

=====

## MgReI3 (PBE)

Data for a relaxed MgReI3 crystal.

Computed properties:
* size of the total moment: 2.39 μB/cell
* ΔE_f (raw): 0.5793 eV/atom
* volume: 33.75 Å³ per atom

a b c (Å): 5.526 5.526 5.526
angles (deg): 90.00 90.00 90.00
Space group Pm-3m (No. 221)
Symmetry-distinct sites (fractional):
Mg1 0.000 0.000 0.000 [1 per cell]
Re1 0.500 0.500 0.500 [1 per cell]
I1 0.000 0.500 0.500 [3 per cell]

=====

## CdSiAu2 (PBE)

Data for a relaxed CdSiAu2 crystal.

Computed properties:
* size of the total moment: 0.00 μB/cell
* ΔE_f (raw): 0.1297 eV/atom
* volume: 18.42 Å³ per atom

a b c (Å): 4.276 4.369 7.886
angles (deg): 90.00 90.00 90.00
Space group Immm (No. 71)
Symmetry-distinct sites (fractional):
Cd1 0.000 0.000 0.000 [2 per cell]
Si1 0.000 0.000 0.500 [2 per cell]
Au1 0.000 0.500 0.246 [4 per cell]

=====

## YCuW (PBE)

Data for a relaxed YCuW crystal.

Computed properties:
* size of the total moment: 12.00 μB/cell
* calculated total energy: -6.196 eV/atom
* volume: 23.68 Å³ per atom

a b c (Å): 6.575 6.575 6.575
angles (deg): 90.00 90.00 90.00
Space group F-43m (No. 216)
Symmetry-distinct sites (fractional):
Y1 0.000 0.000 0.000 [4 per cell]
Cu1 0.250 0.250 0.250 [4 per cell]
W1 0.250 0.250 0.750 [4 per cell]

=====

## Tb8Sn2Ru3 (PBE)

Data for a relaxed Tb8Sn2Ru3 crystal.

Computed properties:
* size of the total moment: 0.00 μB/cell
* calculated total energy: -6.000 eV/atom
* volume: 27.60 Å³ per atom

a b c (Å): 8.895 4.937 8.899
angles (deg): 90.00 113.36 90.00
Space group P2/m (No. 10)
Symmetry-distinct sites (fractional):
Tb1 0.109 0.000 0.391 [2 per cell]
Tb2 0.144 0.500 0.865 [2 per cell]
Tb3 0.365 0.500 0.645 [2 per cell]
Tb4 0.388 0.000 0.113 [2 per cell]
Sn1 0.244 0.500 0.256 [2 per cell]
Ru1 0.252 0.000 0.752 [2 per cell]
Ru2 0.500 0.500 0.000 [1 per cell]

=====

## KMgPbF6 (PBE)

Data for a relaxed KMgPbF6 crystal.

Computed properties:
* size of the total moment: 1.40 μB/cell
* ΔE_f (raw): -2.7121 eV/atom
* volume: 17.83 Å³ per atom

a b c (Å): 5.8166 5.8166 10.9544
angles (deg): 90.00 90.00 120.00
Space group P-31c (No. 163)
Symmetry-distinct sites (fractional):
K1 0.0000 0.0000 0.0000 [2 per cell]
Mg1 0.3333 0.6667 0.2500 [2 per cell]
Pb1 0.3333 0.6667 0.7500 [2 per cell]
F1 0.0321 0.3912 0.1465 [12 per cell]

=====

## Zr2Sc2Ir (PBE)

Data for a relaxed Zr2Sc2Ir crystal.

Computed properties:
* size of the total moment: 0.00 μB/cell
* calculated total energy: -7.881 eV/atom
* volume: 21.85 Å³ per atom

a b c (Å): 6.656 6.656 4.931
angles (deg): 90.00 90.00 90.00
Space group P4/mbm (No. 127)
Symmetry-distinct sites (fractional):
Zr1 0.159 0.341 0.000 [4 per cell]
Sc1 0.153 0.653 0.500 [4 per cell]
Ir1 0.000 0.000 0.500 [2 per cell]

=====

## ZnFe2Mo (PBE)

Data for a relaxed ZnFe2Mo crystal.

Computed properties:
* size of the total moment: 6.94 μB/cell
* calculated total energy: -7.100 eV/atom
* volume: 13.10 Å³ per atom

a b c (Å): 2.859 4.273 8.582
angles (deg): 90.00 90.00 90.00
Space group Imm2 (No. 44)
Symmetry-distinct sites (fractional):
Zn1 0.000 0.000 0.000 [2 per cell]
Fe1 0.000 0.000 0.477 [2 per cell]
Fe2 0.000 0.500 0.753 [2 per cell]
Mo1 0.000 0.500 0.225 [2 per cell]

=====

Repeat the sixth record exactly.
## Tb8Sn2Ru3 (PBE)

Data for a relaxed Tb8Sn2Ru3 crystal.

Computed properties:
* size of the total moment: 0.00 μB/cell
* calculated total energy: -6.000 eV/atom
* volume: 27.60 Å³ per atom

a b c (Å): 8.895 4.937 8.899
angles (deg): 90.00 113.36 90.00
Space group P2/m (No. 10)
Symmetry-distinct sites (fractional):
Tb1 0.109 0.000 0.391 [2 per cell]
Tb2 0.144 0.500 0.865 [2 per cell]
Tb3 0.365 0.500 0.645 [2 per cell]
Tb4 0.388 0.000 0.113 [2 per cell]
Sn1 0.244 0.500 0.256 [2 per cell]
Ru1 0.252 0.000 0.752 [2 per cell]
Ru2 0.500 0.500 0.000 [1 per cell]

=====

Q: Which value of volume does entry 6 give?
A: 27.60 Å³ per atom